[1]
! TaZnAu | the Alexandria database | PBE | optimized geometry; values from VASP
! Crystal system   monoclinic
&SYSTEM
  ibrav = 0, nat = 6, ntyp = 3
/
ATOMIC_SPECIES
Ta 180.95 Ta.upf
Zn 65.41 Zn.upf
Au 196.97 Au.upf
ATOMIC_POSITIONS angstrom
Ta 0.421 2.124 8.114
Ta -1.353 3.220 6.266
Zn 1.128 -1.870 7.406
Zn -0.798 0.214 6.371
Au 0.354 1.777 4.352
Au 0.914 -1.207 4.720
CELL_PARAMETERS angstrom
-0.937 -2.227 4.706
1.980 -1.693 4.604
-1.262 7.001 0.602



[2]
! PmPr4Au2 | the Alexandria database | PBE | optimized geometry; values from VASP
! Crystal system   trigonal
&SYSTEM
  ibrav = 0, nat = 7, ntyp = 3
/
ATOMIC_SPECIES
Pm 145.00 Pm.upf
Pr 140.91 Pr.upf
Au 196.97 Au.upf
ATOMIC_POSITIONS angstrom
Pm 4.815 2.780 5.808
Pr 7.222 4.170 10.434
Pr 7.222 4.170 3.740
Pr 2.407 1.390 1.182
Pr 2.407 1.390 7.875
Au 4.815 2.780 2.408
Au 4.815 2.780 9.208
CELL_PARAMETERS angstrom
4.815 0.000 0.000
2.407 4.170 0.000
2.407 1.390 11.616



[3]
! Ho5ScHg4 | the Alexandria database | PBE | optimized geometry; values from VASP
! Crystal system   tetragonal
&SYSTEM
  ibrav = 0, nat = 10, ntyp = 3
/
ATOMIC_SPECIES
Ho 164.93 Ho.upf
Sc 44.96 Sc.upf
Hg 200.59 Hg.upf
ATOMIC_POSITIONS angstrom
Ho 1.823 1.823 2.152
Ho 1.823 1.823 6.000
Ho 1.823 1.823 9.782
Ho 1.823 1.823 13.564
Ho 1.823 1.823 17.412
Sc 0.000 0.000 0.000
Hg 0.000 0.000 4.052
Hg 0.000 0.000 7.886
Hg 0.000 0.000 11.677
Hg 0.000 0.000 15.512
CELL_PARAMETERS angstrom
3.647 0.000 0.000
0.000 3.647 0.000
0.000 0.000 19.564



[4]
! Tb2HoSc3S6 | the Alexandria database | PBE | optimized geometry; values from VASP
! Crystal system   monoclinic
! Uncorrected formation energy   -23.09 eV/f.u.
&SYSTEM
  ibrav = 0, nat = 12, ntyp = 4
/
ATOMIC_SPECIES
Tb 158.93 Tb.upf
Ho 164.93 Ho.upf
Sc 44.96 Sc.upf
S 32.06 S.upf
ATOMIC_POSITIONS angstrom
Tb -6.190 1.761 2.333
Tb -3.077 -0.068 1.188
Ho -0.055 1.896 -0.034
Sc -3.234 1.765 -2.146
Sc -3.019 1.891 4.434
Sc -6.248 -0.198 -0.913
S -7.784 -0.204 1.224
S -4.754 1.760 -0.014
S -1.483 1.897 2.297
S -4.519 1.886 6.594
S -4.748 -0.194 -3.073
S -4.513 -0.067 3.535
CELL_PARAMETERS angstrom
-0.110 3.792 -0.069
-6.358 -0.261 -4.222
-2.799 -1.838 7.812



[5]
! BeMoSN2 | the Alexandria database | PBE | optimized geometry; values from VASP
! Crystal system   tetragonal
! Energy above the lowest structure with this stoichiometry   369 meV/atom
! Uncorrected formation energy   5.06 eV/f.u.
&SYSTEM
  ibrav = 0, nat = 5, ntyp = 4
/
ATOMIC_SPECIES
Be 9.01 Be.upf
Mo 95.94 Mo.upf
S 32.06 S.upf
N 14.01 N.upf
ATOMIC_POSITIONS angstrom
Be 0.000 0.000 0.000
Mo 1.738 1.738 2.193
S 0.000 0.000 2.193
N 0.000 1.738 0.000
N 1.738 0.000 0.000
CELL_PARAMETERS angstrom
3.477 0.000 0.000
0.000 3.477 0.000
0.000 0.000 4.386



[6]
! SrGaAu4 | the Alexandria database | PBE | optimized geometry; values from VASP
! Crystal system   cubic
! Energy above the lowest structure with this stoichiometry   72 meV/atom
&SYSTEM
  ibrav = 0, nat = 6, ntyp = 3
/
ATOMIC_SPECIES
Sr 87.62 Sr.upf
Au 196.97 Au.upf
Ga 69.72 Ga.upf
ATOMIC_POSITIONS angstrom
Sr -3.395 0.386 0.689
Au -6.265 2.045 0.305
Au -5.881 0.852 2.866
Au -8.490 0.964 1.722
Au -6.522 -0.777 0.616
Ga 0.000 0.000 0.000
CELL_PARAMETERS angstrom
-3.928 3.476 2.208
-5.209 0.224 -2.283
-4.442 -2.158 2.829



[7]
! YMnNi2 | the Alexandria database | PBE | optimized geometry; values from VASP
! Crystal system   cubic
! Energy above the lowest structure with this stoichiometry   123 meV/atom
&SYSTEM
  ibrav = 0, nat = 4, ntyp = 3
/
ATOMIC_SPECIES
Y 88.91 Y.upf
Ni 58.69 Ni.upf
Mn 54.94 Mn.upf
ATOMIC_POSITIONS angstrom
Y 3.174 3.174 3.174
Ni 1.587 1.587 1.587
Ni 4.761 4.761 4.761
Mn 0.000 0.000 0.000
CELL_PARAMETERS angstrom
0.000 3.174 3.174
3.174 0.000 3.174
3.174 3.174 0.000



[8]
! Tl3TeBr8 | the Alexandria database | PBE | optimized geometry; values from VASP
! Crystal system   hexagonal
! Uncorrected formation energy   -6.40 eV/f.u.
&SYSTEM
  ibrav = 0, nat = 24, ntyp = 3
/
ATOMIC_SPECIES
Tl 204.38 Tl.upf
Te 127.60 Te.upf
Br 79.90 Br.upf
ATOMIC_POSITIONS angstrom
Tl 9.434 5.592 4.943
Tl 9.434 1.485 2.572
Tl 9.434 1.485 7.314
Tl 3.279 2.970 0.000
Tl 3.279 7.077 2.371
Tl 3.279 7.077 -2.371
Te 0.835 2.854 4.943
Te 6.991 5.708 0.000
Br 11.591 0.579 4.943
Br 11.591 3.991 6.913
Br 11.591 3.991 2.973
Br 5.436 7.983 0.000
Br 5.436 4.571 -1.970
Br 5.436 4.571 1.970
Br 8.550 3.453 0.000
Br 8.550 6.835 1.953
Br 8.550 6.835 -1.953
Br 2.395 5.109 4.943
Br 2.395 1.727 2.991
Br 2.395 1.727 6.896
Br 7.960 2.854 4.943
Br 1.805 5.708 0.000
Br 4.323 0.000 0.000
Br 10.478 0.000 0.000
CELL_PARAMETERS angstrom
12.311 0.000 0.000
0.000 8.562 -4.943
0.000 0.000 9.887



Number 1: total energy -0.406 Ry per atom. Number 2: total energy -0.334 Ry per atom. Number 3: total energy -0.251 Ry per atom. Number 4: total energy -0.494 Ry per atom. Number 5: total energy -0.445 Ry per atom. Number 6: total energy -0.244 Ry per atom. Number 7: total energy -0.508 Ry per atom. Number 8: total energy -0.184 Ry per atom.